# Ta6V2Mo

An optimized crystal structure of Ta6V2Mo (PBE-GGA, Alexandria via LeMat-Bulk).

Lattice parameters (Å, degrees): 2.825 7.100 7.958 100.72 89.43 81.79
Positions (direct):
Ta1 0.239 0.997 0.663
Ta2 0.761 0.003 0.337
Ta3 0.103 0.340 0.232
Ta4 0.351 0.675 0.116
Ta5 0.649 0.325 0.884
Ta6 0.897 0.660 0.768
V1 0.397 0.343 0.551
V2 0.603 0.657 0.449
Mo1 0.000 0.000 0.000

Calculated values
ΔE to the lowest computed polymorph   0.000 eV per atom


# Sr2CuSi

An optimized crystal structure of Sr2CuSi (PBE-GGA, Alexandria via LeMat-Bulk).

Lattice parameters (Å, degrees): 3.723 3.723 8.959 90.00 90.00 104.39
Positions (direct):
Si1 0.500 0.500 0.670
Sr1 0.500 0.500 0.324
Sr2 0.000 0.000 0.923
Cu1 0.000 0.000 0.583

Calculated values
Formation energy without anion corrections   0.082 eV/atom


no.,DOS(E_F) (states/eV per atom)
1,1.119
2,0.977